# BeVO2F (GGA+U, relaxed)
# Crystal system: tetragonal
# Total energy: -5.568 eV per atom
# Fermi-level density of states: 0.92 states/eV per atom
# Spin magnetization: 0.0 Bohr magnetons per cell
# Volume: 56 Å³ per cell
data_BeVO2F
_cell_length_a 3.7679
_cell_length_b 3.7679
_cell_length_c 3.9381
_cell_angle_alpha 90.00
_cell_angle_beta 90.00
_cell_angle_gamma 90.00
_space_group_name_H-M_alt 'P 4/m m m'
_space_group_IT_number 123
_space_group_name_Hall '-P 4 2'
loop_
_atom_site_label
_atom_site_type_symbol
_atom_site_fract_x
_atom_site_fract_y
_atom_site_fract_z
Be1 Be 0.0000 0.0000 0.0000
V1 V 0.5000 0.5000 0.5000
O1 O 0.0000 0.5000 0.5000
F1 F 0.5000 0.5000 0.0000